Density functional theory data (PBE-GGA) for a relaxed structure of ZnFe2Co.

extended XYZ file:
```
4
Lattice="1.271 0.734 8.312 -1.271 0.734 8.312 0.000 -1.468 8.312" Properties=species:S:1:pos:R:3 pbc="T T T"
Zn 0.000 0.000 0.000
Fe 0.000 0.000 12.516
Fe 0.000 0.000 18.820
Co 0.000 0.000 6.154
```

Properties
SG	R3m
final energy	-6.250	eV/atom
V	11.63	A^3/atom